Here is Gd2DyMg3Al2Zn after structural relaxation from the Open Quantum Materials Database. Energies are from PBE-GGA.

It has space group Amm2 (No. 38), with a = 4.4970 Å, b = 12.7512 Å, c = 7.3933 Å, α = 90.00°, β = 90.00° and γ = 90.00°. Symmetry generates all atoms from Gd at (0.0000, 0.2094, 0.0000), Dy at (0.0000, 0.0000, 0.3717), Mg at (0.5000, 0.0000, 0.0311), Mg at (0.5000, 0.1206, 0.6693), Al at (0.5000, 0.1659, 0.2907) and Zn at (0.0000, 0.0000, 0.7880).

---

Here is GdDyAl2Ni4 after structural relaxation from the Open Quantum Materials Database. Energies are from PBE-GGA.

It has space group P-6m2 (No. 187), with a = 4.1435 Å, b = 4.1435 Å, c = 8.9619 Å, α = 90.00°, β = 90.00° and γ = 120.00°. Symmetry generates all atoms from Gd at (0.0000, 0.0000, 0.0000), Dy at (0.3333, 0.6667, 0.5000), Al at (0.6667, 0.3333, 0.2525), Ni at (0.0000, 0.0000, 0.3134) and Ni at (0.3333, 0.6667, 0.1916).

---

no.,E_tot (eV/cell)
1,-60.4
2,-43.7